Here is CoSnSeO after structural relaxation from OQMD via LeMat-Bulk. Energies are from PBE with a Hubbard U.

Output
Distance to the lowest polymorph of the same formula in meV/atom: 126
Density in g/cm3: 5.99

Unit cell a=5.913 b=16.736 c=6.111 alpha=90.00 beta=90.00 gamma=90.00
Space group Pbca (No. 61)
Unique sites:
1 Co 0.098 0.217 0.150
2 Sn 0.153 0.600 0.799
3 Se 0.056 0.585 0.230
4 O 0.208 0.729 0.875